## P
## Dy3ErRh2 (GGA-PBE)

Data for crystalline Dy3ErRh2 at its relaxed geometry.

Properties
Fermi-level density of states (states/eV/f.u.): 4.1
Crystal system: monoclinic

```
data_Dy3ErRh2
_chemical_formula_sum 'Dy6 Er2 Rh4'
_cell_length_a 15.4311
_cell_length_b 4.2280
_cell_length_c 4.7151
_cell_angle_alpha 90.00
_cell_angle_beta 107.78
_cell_angle_gamma 90.00
_space_group_name_H-M_alt 'C 1 2/m 1'
_space_group_IT_number 12
_space_group_name_Hall '-C 2y'
loop_
_atom_site_label
_atom_site_type_symbol
_atom_site_fract_x
_atom_site_fract_y
_atom_site_fract_z
_atom_site_occupancy
Dy1 Dy 0.0000 0.0000 0.0000 1
Dy2 Dy 0.1859 0.5000 0.1855 1
Er1 Er 0.0000 0.5000 0.5000 1
Rh1 Rh 0.1296 0.0000 0.6311 1
```

## Q
## Dy3ErRh2 (GGA-PBE)

Data for crystalline Dy3ErRh2 at its relaxed geometry.

Properties
Fermi-level density of states (states/eV/f.u.): 5.1
Crystal system: orthorhombic

```
data_Dy3ErRh2
_chemical_formula_sum 'Dy12 Er4 Rh8'
_cell_length_a 6.6825
_cell_length_b 13.5089
_cell_length_c 7.0694
_cell_angle_alpha 90.00
_cell_angle_beta 90.00
_cell_angle_gamma 90.00
_space_group_name_H-M_alt 'I b a m'
_space_group_IT_number 72
_space_group_name_Hall '-I 2 2c'
loop_
_atom_site_label
_atom_site_type_symbol
_atom_site_fract_x
_atom_site_fract_y
_atom_site_fract_z
_atom_site_occupancy
Dy1 Dy 0.0000 0.0000 0.2500 1
Dy2 Dy 0.0000 0.2688 0.2500 1
Er1 Er 0.0000 0.5000 0.0000 1
Rh1 Rh 0.2123 0.1378 0.0000 1
```

It turns out Q is the most stable, with the second structure 2.5 kJ/mol of atoms higher.